# 1
# Li2ReOs, optimized geometry, DFT GGA-PBE
data_Li2ReOs
_chemical_formula_sum 'Li4 Re2 Os2'
_cell_length_a 2.680
_cell_length_b 4.516
_cell_length_c 9.454
_cell_angle_alpha 90.00
_cell_angle_beta 90.00
_cell_angle_gamma 90.00
_space_group_name_H-M_alt 'C m m m'
_space_group_IT_number 65
_space_group_name_Hall '-C 2 2'
loop_
_atom_site_label
_atom_site_type_symbol
_atom_site_fract_x
_atom_site_fract_y
_atom_site_fract_z
Li1 Li 0.000 0.000 0.247
Re1 Re 0.000 0.500 0.500
Os1 Os 0.000 0.500 0.000
# Formation enthalpy at 0 K in eV per atom: 0.2607
# Excess energy over the best structure of this formula in the dataset in eV/atom: 0.147

---

# 2
# RbNa2CaTi, optimized geometry, DFT GGA-PBE
data_RbNa2CaTi
_chemical_formula_sum 'Rb1 Na2 Ca1 Ti1'
_cell_length_a 6.546
_cell_length_b 6.546
_cell_length_c 5.929
_cell_angle_alpha 90.00
_cell_angle_beta 90.00
_cell_angle_gamma 90.00
_space_group_name_H-M_alt 'P 4/m m m'
_space_group_IT_number 123
_space_group_name_Hall '-P 4 2'
loop_
_atom_site_label
_atom_site_type_symbol
_atom_site_fract_x
_atom_site_fract_y
_atom_site_fract_z
Rb1 Rb 0.000 0.000 0.000
Na1 Na 0.000 0.500 0.500
Ca1 Ca 0.500 0.500 0.500
Ti1 Ti 0.500 0.500 0.000
# Formation enthalpy at 0 K in eV per atom: 0.8593

---

# 3
# Tb2Si3Ru, optimized geometry, DFT GGA-PBE
data_Tb2Si3Ru
_chemical_formula_sum 'Tb16 Si24 Ru8'
_cell_length_a 7.990
_cell_length_b 8.258
_cell_length_c 14.179
_cell_angle_alpha 90.00
_cell_angle_beta 90.00
_cell_angle_gamma 90.00
_space_group_name_H-M_alt 'F m m m'
_space_group_IT_number 69
_space_group_name_Hall '-F 2 2'
loop_
_atom_site_label
_atom_site_type_symbol
_atom_site_fract_x
_atom_site_fract_y
_atom_site_fract_z
Tb1 Tb 0.243 0.000 0.000
Tb2 Tb 0.250 0.250 0.250
Si1 Si 0.000 0.000 0.333
Si2 Si 0.000 0.250 0.084
Ru1 Ru 0.000 0.000 0.166
# Formation energy (no corrections) in eV/f.u.: -4.4

---

# 4
# LaSmHo2, optimized geometry, DFT GGA-PBE
data_LaSmHo2
_chemical_formula_sum 'La4 Sm4 Ho8'
_cell_length_a 8.131
_cell_length_b 8.131
_cell_length_c 8.131
_cell_angle_alpha 90.00
_cell_angle_beta 90.00
_cell_angle_gamma 90.00
_space_group_name_H-M_alt 'F m -3 m'
_space_group_IT_number 225
_space_group_name_Hall '-F 4 2 3'
loop_
_atom_site_label
_atom_site_type_symbol
_atom_site_fract_x
_atom_site_fract_y
_atom_site_fract_z
La1 La 0.000 0.000 0.000
Sm1 Sm 0.000 0.000 0.500
Ho1 Ho 0.250 0.250 0.250
# Formation enthalpy at 0 K in eV per atom: 0.1055
# Excess energy over the best structure of this formula in the dataset in eV/atom: 0.090

---

# 5
# Tb3PaP4, optimized geometry, DFT GGA-PBE
data_Tb3PaP4
_chemical_formula_sum 'Tb6 Pa2 P8'
_cell_length_a 5.660
_cell_length_b 5.660
_cell_length_c 11.326
_cell_angle_alpha 90.00
_cell_angle_beta 90.00
_cell_angle_gamma 90.00
_space_group_name_H-M_alt 'I 4/m m m'
_space_group_IT_number 139
_space_group_name_Hall '-I 4 2'
loop_
_atom_site_label
_atom_site_type_symbol
_atom_site_fract_x
_atom_site_fract_y
_atom_site_fract_z
Tb1 Tb 0.000 0.000 0.000
Tb2 Tb 0.000 0.500 0.250
Pa1 Pa 0.000 0.000 0.500
P1 P 0.000 0.000 0.256
P2 P 0.000 0.500 0.000
# Formation enthalpy at 0 K in eV per atom: -1.5523
# Excess energy over the best structure of this formula in the dataset in eV/atom: 0.000

---

# 6
# Na2PaBi2S6, optimized geometry, DFT GGA-PBE
data_Na2PaBi2S6
_chemical_formula_sum 'Na4 Pa2 Bi4 S12'
_cell_length_a 7.133
_cell_length_b 12.148
_cell_length_c 7.209
_cell_angle_alpha 90.00
_cell_angle_beta 109.90
_cell_angle_gamma 90.00
_space_group_name_H-M_alt 'C 1 2/m 1'
_space_group_IT_number 12
_space_group_name_Hall '-C 2y'
loop_
_atom_site_label
_atom_site_type_symbol
_atom_site_fract_x
_atom_site_fract_y
_atom_site_fract_z
Na1 Na 0.000 0.171 0.000
Pa1 Pa 0.000 0.000 0.500
Bi1 Bi 0.000 0.333 0.500
S1 S 0.233 0.000 0.273
S2 S 0.236 0.164 0.726
# Formation energy (no corrections) in eV/f.u.: -10.7

---

| no. | total magnetic moment (μB/cell) |
| --- | --- |
| 1 | 0.000 |
| 2 | 3.902 |
| 3 | 0.000 |
| 4 | 0.024 |
| 5 | 0.000 |
| 6 | 2.084 |